(1)
Compound: YTe2Cl
Source: Alexandria
Functional: PBE
Structure: optimized geometry

Results
- excess energy over the best structure of this formula in the dataset (eV/atom) = 0.1902

Cell lengths 4.127, 4.127, 6.613 Å; angles 90.00, 90.00, 90.00 degrees
Element x y z (fractional)
1 Y 0.000 0.000 0.000
2 Te 0.500 0.500 0.214
3 Te 0.500 0.500 0.786
4 Cl 0.000 0.000 0.500

(2)
Compound: YTe2Cl
Source: Alexandria
Functional: PBE
Structure: optimized geometry

Results
- excess energy over the best structure of this formula in the dataset (eV/atom) = 0.5097

Cell lengths 4.862, 4.862, 9.123 Å; angles 90.00, 90.00, 90.00 degrees
Element x y z (fractional)
1 Y 0.000 0.000 0.000
2 Y 0.500 0.500 0.500
3 Te 0.000 0.000 0.500
4 Te 0.000 0.500 0.250
5 Te 0.500 0.000 0.750
6 Te 0.500 0.500 0.000
7 Cl 0.000 0.500 0.750
8 Cl 0.500 0.000 0.250

(3)
Compound: Y2TeCl
Source: Alexandria
Functional: PBE
Structure: optimized geometry

Results
- excess energy over the best structure of this formula in the dataset (eV/atom) = 0.4183

Cell lengths 6.436, 6.436, 13.355 Å; angles 90.00, 90.00, 90.00 degrees
Element x y z (fractional)
1 Y 0.214 0.250 0.125
2 Y 0.250 0.714 0.375
3 Y 0.250 0.786 0.875
4 Y 0.286 0.250 0.625
5 Y 0.714 0.750 0.625
6 Y 0.750 0.214 0.875
7 Y 0.750 0.286 0.375
8 Y 0.786 0.750 0.125
9 Te 0.000 0.000 0.500
10 Te 0.000 0.500 0.750
11 Te 0.500 0.000 0.250
12 Te 0.500 0.500 0.000
13 Cl 0.000 0.000 0.000
14 Cl 0.000 0.500 0.250
15 Cl 0.500 0.000 0.750
16 Cl 0.500 0.500 0.500

(4)
Compound: YTe2Cl
Source: Alexandria
Functional: PBE
Structure: optimized geometry

Results
- excess energy over the best structure of this formula in the dataset (eV/atom) = 0.3406

Cell lengths 4.302, 4.504, 5.483 Å; angles 90.00, 90.00, 90.00 degrees
Element x y z (fractional)
1 Y 0.000 0.000 0.000
2 Te 0.000 0.500 0.500
3 Te 0.500 0.000 0.500
4 Cl 0.500 0.500 0.000